The following is a DFT calculation (PBE-GGA) of an optimized crystal structure of Li2FeSi.

Cell: 2.586 4.183 4.799 Å, 90.00 90.00 90.00°
Fractional coordinates of all 4 atoms:
Li  0.000  0.000  0.249
Li  0.000  0.000  0.751
Fe  0.500  0.500  0.500
Si  0.500  0.500  0.000

* calculated volume: 13.0 Å³/atom
* theoretical density: 3.1 g/cm³
* E_form (uncorrected): 0.05 eV/atom
* M_tot: 2.12 Bohr magnetons per cell